The following is a DFT calculation (GGA-PBE) of a geometry-optimized BaSc2W structure.

## Properties
Formation energy from the elements: 1.612 eV/f.u.
E_tot: -6.48 eV per atom
Total moment: 0.0 μB/f.u.
Space group: P2/m

Unit cell a=3.3603 b=3.3641 c=9.6583 alpha=90.00 beta=90.16 gamma=90.00
Sites, in units of the cell vectors:
Ba 0.0000 0.0000 0.0000
Sc 0.4994 0.5000 0.3332
Sc 0.5006 0.5000 0.6668
W 0.0000 0.0000 0.5000